FePt2O | GGA+U | optimized geometry

Results
E_tot, eV/atom: -5.395
Total magnetization, μB per atom: 0.95
SG: No. 122

a = 5.434 Å, b = 5.434 Å, c = 5.434 Å
α = 102.30°, β = 102.30°, γ = 125.03°
Positions (direct):
Fe: 0.000 0.000 0.000
Fe: 0.750 0.250 0.500
Pt: 0.186 0.125 0.561
Pt: 0.375 0.814 0.939
Pt: 0.564 0.625 0.439
Pt: 0.875 0.436 0.061
O: 0.250 0.750 0.500
O: 0.500 0.500 0.000